No. 1
The following is a DFT calculation (PBE-GGA) of an optimized crystal structure of Al2CuW.

abc: 6.1661 6.1661 6.1661
angles: 90.00 90.00 90.00
Space group F-43m (No. 216)
Symmetry-distinct sites (fractional):
Al1 0.0000 0.0000 0.0000 (multiplicity 4)
Al2 0.2500 0.2500 0.2500 (multiplicity 4)
Cu1 0.2500 0.2500 0.7500 (multiplicity 4)
W1 0.0000 0.0000 0.5000 (multiplicity 4)

Values from the calculation:
Spin magnetization ... 0.691 μB per formula unit
Calculated density ... 8.538 Mg/m³
E_tot ... -5.713 eV per atom

No. 2
The following is a DFT calculation (PBE-GGA) of an optimized crystal structure of HfZrCu2.

abc: 6.4947 6.4947 6.4947
angles: 90.00 90.00 90.00
Space group F-43m (No. 216)
Symmetry-distinct sites (fractional):
Hf1 0.0000 0.0000 0.0000 (multiplicity 4)
Zr1 0.2500 0.2500 0.7500 (multiplicity 4)
Cu1 0.0000 0.0000 0.5000 (multiplicity 4)
Cu2 0.2500 0.2500 0.2500 (multiplicity 4)

Values from the calculation:
Spin magnetization ... 1.968 μB per formula unit
Calculated density ... 9.621 Mg/m³
E_tot ... -6.198 eV per atom

No. 3
The following is a DFT calculation (PBE-GGA) of an optimized crystal structure of Sm3Ni2Sn3Pt.

abc: 7.4183 7.4183 4.1132
angles: 90.00 90.00 120.00
Space group P-62m (No. 189)
Symmetry-distinct sites (fractional):
Sm1 0.0000 0.5894 0.0000 (multiplicity 3)
Ni1 0.3333 0.6667 0.5000 (multiplicity 2)
Sn1 0.0000 0.2622 0.5000 (multiplicity 3)
Pt1 0.0000 0.0000 0.0000 (multiplicity 1)

Values from the calculation:
Spin magnetization ... 0.003 μB per formula unit
Calculated density ... 9.485 Mg/m³
E_tot ... -5.582 eV per atom

No. 4
The following is a DFT calculation (PBE-GGA) of an optimized crystal structure of BaTbTe3Au.

abc: 20.0096 4.4813 9.0980
angles: 90.00 100.37 90.00
Space group C2/m (No. 12)
Symmetry-distinct sites (fractional):
Ba1 0.1276 0.0000 0.0806 (multiplicity 4)
Tb1 0.1616 0.0000 0.5912 (multiplicity 4)
Te1 0.0000 0.0000 0.5000 (multiplicity 2)
Te2 0.0000 0.5000 0.0000 (multiplicity 2)
Te3 0.1774 0.5000 0.3681 (multiplicity 4)
Te4 0.1854 0.5000 0.8322 (multiplicity 4)
Au1 0.0485 0.5000 0.7089 (multiplicity 4)

Values from the calculation:
Spin magnetization ... 0.001 μB per formula unit
Calculated density ... 7.251 Mg/m³
E_tot ... -4.378 eV per atom

No. 5
The following is a DFT calculation (PBE-GGA) of an optimized crystal structure of TmHgTeO.

abc: 4.8252 9.1674 5.8569
angles: 90.00 90.00 90.00
Space group Pmc2_1 (No. 26)
Symmetry-distinct sites (fractional):
Tm1 0.0000 0.1235 0.0000 (multiplicity 2)
Hg1 0.5000 0.2984 0.6135 (multiplicity 2)
Te1 0.5000 0.3083 0.1181 (multiplicity 2)
O1 0.0000 0.0690 0.6666 (multiplicity 2)

Values from the calculation:
Spin magnetization ... 0.003 μB per formula unit
Calculated density ... 6.578 Mg/m³
Energy relative to the lowest polymorph listed for this composition ... 0.186 eV per atom

No. 6
The following is a DFT calculation (PBE-GGA) of an optimized crystal structure of Cu.

abc: 2.5252 3.5584 34.2898
angles: 90.00 90.00 90.00
Space group Pmmn (No. 59, origin choice 2)
Symmetry-distinct sites (fractional):
Cu1 0.2500 0.2500 0.0185 (multiplicity 2)
Cu2 0.2500 0.2500 0.0922 (multiplicity 2)
Cu3 0.2500 0.2500 0.1659 (multiplicity 2)
Cu4 0.2500 0.2500 0.2405 (multiplicity 2)
Cu5 0.2500 0.2500 0.7237 (multiplicity 2)
Cu6 0.2500 0.2500 0.7972 (multiplicity 2)
Cu7 0.2500 0.2500 0.8710 (multiplicity 2)
Cu8 0.2500 0.2500 0.9448 (multiplicity 2)

Values from the calculation:
Calculated density ... 5.479 Mg/m³
Energy relative to the lowest polymorph listed for this composition ... 0.120 eV per atom

What is the formula in the fifth record?
TmHgTeO

Repeat the fourth record exactly.
The following is a DFT calculation (PBE-GGA) of an optimized crystal structure of BaTbTe3Au.

abc: 20.0096 4.4813 9.0980
angles: 90.00 100.37 90.00
Space group C2/m (No. 12)
Symmetry-distinct sites (fractional):
Ba1 0.1276 0.0000 0.0806 (multiplicity 4)
Tb1 0.1616 0.0000 0.5912 (multiplicity 4)
Te1 0.0000 0.0000 0.5000 (multiplicity 2)
Te2 0.0000 0.5000 0.0000 (multiplicity 2)
Te3 0.1774 0.5000 0.3681 (multiplicity 4)
Te4 0.1854 0.5000 0.8322 (multiplicity 4)
Au1 0.0485 0.5000 0.7089 (multiplicity 4)

Values from the calculation:
Spin magnetization ... 0.001 μB per formula unit
Calculated density ... 7.251 Mg/m³
E_tot ... -4.378 eV per atom

The highest calculated density belongs to which entry?
HfZrCu2